Computed, not measured: a relaxed CaSbPbO6 crystal at the PBE level of DFT.

a = 5.5761 Å, b = 5.5761 Å, c = 9.8160 Å
α = 90.00°, β = 90.00°, γ = 120.00°
Closest atoms and distances in Å follow each position.
Space group P-31c (No. 163)
Asymmetric unit:
Ca (0.0000, 0.0000, 0.0000)  6 O 2.40
Sb (0.3333, 0.6667, 0.2500)  6 O 2.02
Pb (0.3333, 0.6667, 0.7500)  6 O 2.21
O (0.0263, 0.3709, 0.1362)  1 Sb 2.02, 1 Pb 2.21

Summary:
The calculation puts the calculated volume at 264.3 Å³/cell. As for the uncorrected formation energy: -1.45 eV per atom. The value obtained for the density of states at the Fermi level is 11.43 states/eV/cell. Its total energy is -105.33 eV/cell.